(1)
The following is a GGA-PBEsol calculation of a relaxed TlAs2Br crystal, from Alexandria.

Its relative energy among the computed polymorphs is 55.8 kJ per mole of atoms. As for the calculated density: 8.2 g cm⁻³. For the formation energy (no corrections), the calculation gives 41 kJ per mole of atoms.

It has space group Fm-3m (No. 225), with a = 7.045 Å, b = 7.045 Å, c = 7.045 Å, α = 90.00°, β = 90.00° and γ = 90.00°. The inequivalent atoms are Tl at (0.000, 0.000, 0.000), As at (0.250, 0.250, 0.250) and Br at (0.000, 0.000, 0.500).

(2)
The following is a GGA-PBEsol calculation of a relaxed TlAs2Br crystal, from Alexandria.

Its relative energy among the computed polymorphs is 39.6 kJ per mole of atoms. As for the calculated density: 7.9 g cm⁻³. For the formation energy (no corrections), the calculation gives 25 kJ per mole of atoms.

It has space group Pmmm (No. 47), with a = 3.272 Å, b = 5.205 Å, c = 5.326 Å, α = 90.00°, β = 90.00° and γ = 90.00°. The inequivalent atoms are Tl at (0.000, 0.000, 0.000), As at (0.000, 0.500, 0.500), As at (0.500, 0.000, 0.500) and Br at (0.500, 0.500, 0.000).

(3)
The following is a GGA-PBEsol calculation of a relaxed TlAs2Br crystal, from Alexandria.

Its relative energy among the computed polymorphs is 35.6 kJ per mole of atoms. As for the calculated density: 7.4 g cm⁻³. For the formation energy (no corrections), the calculation gives 21 kJ per mole of atoms.

It has space group Fmmm (No. 69), with a = 5.837 Å, b = 5.992 Å, c = 11.115 Å, α = 90.00°, β = 90.00° and γ = 90.00°. The inequivalent atoms are Tl at (0.000, 0.000, 0.000), As at (0.000, 0.250, 0.250) and Br at (0.000, 0.000, 0.500).